VASP calculation (PBE-GGA) on a geometry-optimized MnCu2Cl structure.

a = 3.0881 Å, b = 3.2010 Å, c = 6.5309 Å
α = 90.00°, β = 90.00°, γ = 90.00°
Sites, in units of the cell vectors:
1 Mn 0.0000 0.0000 0.0000
2 Cu 0.0000 0.0000 0.6087
3 Cu 0.5000 0.5000 0.7971
4 Cl 0.5000 0.0000 0.2931

ΔE_f (raw): 0.01 eV per atom
energy above the most stable polymorph in this dataset: 0 meV per atom
calculated volume: 64.6 Å³/f.u.



VASP calculation (PBE-GGA) on a geometry-optimized CsAg4Cl5 structure.

a = 7.7783 Å, b = 11.6932 Å, c = 6.7481 Å
α = 90.00°, β = 90.00°, γ = 90.00°
Sites, in units of the cell vectors:
1 Cs 0.2500 0.2500 0.0986
2 Cs 0.7500 0.7500 0.9014
3 Ag 0.0652 0.7500 0.3995
4 Ag 0.2500 0.5619 0.9589
5 Ag 0.2500 0.9381 0.9589
6 Ag 0.4348 0.7500 0.3995
7 Ag 0.5652 0.2500 0.6005
8 Ag 0.7500 0.0619 0.0411
9 Ag 0.7500 0.4381 0.0411
10 Ag 0.9348 0.2500 0.6005
11 Cl 0.0027 0.0673 0.7716
12 Cl 0.0027 0.4327 0.7716
13 Cl 0.2500 0.7500 0.7266
14 Cl 0.4973 0.0673 0.7716
15 Cl 0.4973 0.4327 0.7716
16 Cl 0.5027 0.5673 0.2284
17 Cl 0.5027 0.9327 0.2284
18 Cl 0.7500 0.2500 0.2734
19 Cl 0.9973 0.5673 0.2284
20 Cl 0.9973 0.9327 0.2284

ΔE_f (raw): -0.69 eV per atom
calculated volume: 306.9 Å³/f.u.



VASP calculation (PBE-GGA) on a geometry-optimized HgS2Cl8 structure.

a = 7.3455 Å, b = 7.3455 Å, c = 7.3688 Å
α = 104.67°, β = 104.67°, γ = 66.70°
Sites, in units of the cell vectors:
1 Hg 0.0000 0.0000 0.0000
2 S 0.1836 0.1836 0.6072
3 S 0.8164 0.8164 0.3928
4 Cl 0.1766 0.7475 0.2221
5 Cl 0.2525 0.8234 0.7779
6 Cl 0.2754 0.2754 0.4195
7 Cl 0.3061 0.3061 0.8551
8 Cl 0.6939 0.6939 0.1449
9 Cl 0.7246 0.7246 0.5805
10 Cl 0.7475 0.1766 0.2221
11 Cl 0.8234 0.2525 0.7779

ΔE_f (raw): -0.14 eV per atom
calculated volume: 348.0 Å³/f.u.



VASP calculation (PBE-GGA) on a geometry-optimized CsCaI3 structure.

a = 10.3914 Å, b = 8.0174 Å, c = 11.7164 Å
α = 90.00°, β = 98.31°, γ = 90.00°
Sites, in units of the cell vectors:
1 Cs 0.1126 0.1938 0.1749
2 Cs 0.1126 0.3062 0.6749
3 Cs 0.8874 0.6938 0.3251
4 Cs 0.8874 0.8062 0.8251
5 Ca 0.4169 0.7418 0.5709
6 Ca 0.4169 0.7582 0.0709
7 Ca 0.5831 0.2418 0.9291
8 Ca 0.5831 0.2582 0.4291
9 I 0.1323 0.6790 0.0990
10 I 0.1323 0.8210 0.5990
11 I 0.3103 0.0794 0.9371
12 I 0.3103 0.4206 0.4371
13 I 0.4353 0.5715 0.8284
14 I 0.4353 0.9285 0.3284
15 I 0.5647 0.0715 0.6716
16 I 0.5647 0.4285 0.1716
17 I 0.6897 0.5794 0.5629
18 I 0.6897 0.9206 0.0629
19 I 0.8677 0.1790 0.4010
20 I 0.8677 0.3210 0.9010

ΔE_f (raw): -1.59 eV per atom
calculated volume: 241.5 Å³/f.u.



The highest calculated volume belongs to which entry?
HgS2Cl8



Copy entry 2 word for word.
VASP calculation (PBE-GGA) on a geometry-optimized CsAg4Cl5 structure.

a = 7.7783 Å, b = 11.6932 Å, c = 6.7481 Å
α = 90.00°, β = 90.00°, γ = 90.00°
Sites, in units of the cell vectors:
1 Cs 0.2500 0.2500 0.0986
2 Cs 0.7500 0.7500 0.9014
3 Ag 0.0652 0.7500 0.3995
4 Ag 0.2500 0.5619 0.9589
5 Ag 0.2500 0.9381 0.9589
6 Ag 0.4348 0.7500 0.3995
7 Ag 0.5652 0.2500 0.6005
8 Ag 0.7500 0.0619 0.0411
9 Ag 0.7500 0.4381 0.0411
10 Ag 0.9348 0.2500 0.6005
11 Cl 0.0027 0.0673 0.7716
12 Cl 0.0027 0.4327 0.7716
13 Cl 0.2500 0.7500 0.7266
14 Cl 0.4973 0.0673 0.7716
15 Cl 0.4973 0.4327 0.7716
16 Cl 0.5027 0.5673 0.2284
17 Cl 0.5027 0.9327 0.2284
18 Cl 0.7500 0.2500 0.2734
19 Cl 0.9973 0.5673 0.2284
20 Cl 0.9973 0.9327 0.2284

ΔE_f (raw): -0.69 eV per atom
calculated volume: 306.9 Å³/f.u.



Look up the ΔE_f (raw) of the second one.
-0.69 eV per atom